1.
This record from the Alexandria database describes an optimized crystal structure of ScMn2SbO6. The functional is PBE+U.

Properties
* offset from the most stable computed form: 0.0 meV/atom
* crystal system: triclinic

a = 6.2756 Å, b = 6.3438 Å, c = 6.3469 Å
α = 90.97°, β = 91.02°, γ = 90.61°
Space group P1 (No. 1)
Inequivalent atoms, fractional coordinates:
Sc: 0.0000 0.0000 0.0000 (multiplicity 1)
Sc: 0.3108 0.5054 0.1862 (multiplicity 1)
Mn: 0.1147 0.1215 0.5025 (multiplicity 1)
Mn: 0.4981 0.8138 0.7044 (multiplicity 1)
Mn: 0.6184 0.3097 0.7913 (multiplicity 1)
Mn: 0.8072 0.6155 0.3141 (multiplicity 1)
Sb: 0.0584 0.5612 0.7488 (multiplicity 1)
Sb: 0.5578 0.0603 0.2478 (multiplicity 1)
O: 0.0228 0.6575 0.0551 (multiplicity 1)
O: 0.1162 0.4727 0.4502 (multiplicity 1)
O: 0.1423 0.8661 0.7216 (multiplicity 1)
O: 0.2534 0.1434 0.1655 (multiplicity 1)
O: 0.3594 0.5188 0.8516 (multiplicity 1)
O: 0.4776 0.1180 0.5456 (multiplicity 1)
O: 0.4791 0.7586 0.3021 (multiplicity 1)
O: 0.6162 0.3641 0.1856 (multiplicity 1)
O: 0.6509 0.9982 0.9497 (multiplicity 1)
O: 0.7572 0.6027 0.6565 (multiplicity 1)
O: 0.8634 0.9871 0.3115 (multiplicity 1)
O: 0.9727 0.2612 0.8005 (multiplicity 1)

2.
This record from the Alexandria database describes an optimized crystal structure of Mn9Zn6Si4Sb2O28. The functional is PBE+U.

Properties
* crystal system: triclinic
* total DFT energy (no corrections): -6.867 eV per atom

a = 5.5991 Å, b = 9.3412 Å, c = 11.8148 Å
α = 86.91°, β = 76.34°, γ = 79.22°
Space group P-1 (No. 2)
Inequivalent atoms, fractional coordinates:
Mn: 0.0000 0.0000 0.0000 (multiplicity 1)
Mn: 0.0794 0.3577 0.2831 (multiplicity 2)
Mn: 0.2794 0.0027 0.4250 (multiplicity 2)
Mn: 0.3639 0.3501 0.7078 (multiplicity 2)
Mn: 0.4265 0.0029 0.1443 (multiplicity 2)
Zn: 0.0513 0.6739 0.4275 (multiplicity 2)
Zn: 0.2023 0.6634 0.1385 (multiplicity 2)
Zn: 0.3395 0.6637 0.8621 (multiplicity 2)
Si: 0.2437 0.3067 0.9967 (multiplicity 2)
Si: 0.4769 0.6880 0.5767 (multiplicity 2)
Sb: 0.1383 0.9997 0.7194 (multiplicity 2)
O: 0.0178 0.5913 0.2855 (multiplicity 2)
O: 0.0296 0.1063 0.5824 (multiplicity 2)
O: 0.0594 0.6455 0.9989 (multiplicity 2)
O: 0.1172 0.1235 0.2853 (multiplicity 2)
O: 0.1182 0.8848 0.1541 (multiplicity 2)
O: 0.2212 0.3572 0.4357 (multiplicity 2)
O: 0.2692 0.8843 0.8474 (multiplicity 2)
O: 0.3083 0.1265 0.9964 (multiplicity 2)
O: 0.3134 0.3668 0.1124 (multiplicity 2)
O: 0.3291 0.6123 0.6972 (multiplicity 2)
O: 0.3896 0.6499 0.4605 (multiplicity 2)
O: 0.4051 0.8714 0.5885 (multiplicity 2)
O: 0.4134 0.1136 0.7080 (multiplicity 2)
O: 0.4198 0.3714 0.8782 (multiplicity 2)

3.
This record from the Alexandria database describes an optimized crystal structure of Sm2MnSb2O. The functional is PBE+U.

Properties
* crystal system: tetragonal
* total DFT energy (no corrections): -5.320 eV per atom

a = 3.4063 Å, b = 3.4063 Å, c = 16.1384 Å
α = 90.00°, β = 90.00°, γ = 90.00°
Space group P4/mmm (No. 123)
Inequivalent atoms, fractional coordinates:
Sm: 0.0000 0.0000 0.1281 (multiplicity 2)
Mn: 0.0000 0.0000 0.5000 (multiplicity 1)
Sb: 0.0000 0.0000 0.3316 (multiplicity 2)
O: 0.0000 0.0000 0.0000 (multiplicity 1)

4.
This record from the Alexandria database describes an optimized crystal structure of SmMn2SbO6. The functional is PBE+U.

Properties
* crystal system: triclinic
* total DFT energy (no corrections): -7.287 eV per atom

a = 5.5601 Å, b = 5.5696 Å, c = 5.5870 Å
α = 60.41°, β = 62.70°, γ = 61.26°
Space group P1 (No. 1)
Inequivalent atoms, fractional coordinates:
Sm: 0.0000 0.0000 0.0000 (multiplicity 1)
Mn: 0.2728 0.2896 0.2122 (multiplicity 1)
Mn: 0.7985 0.7519 0.7138 (multiplicity 1)
Sb: 0.5555 0.4050 0.5300 (multiplicity 1)
O: 0.1313 0.5525 0.4167 (multiplicity 1)
O: 0.4103 0.0884 0.9286 (multiplicity 1)
O: 0.5957 0.0518 0.4003 (multiplicity 1)
O: 0.6122 0.4702 0.8724 (multiplicity 1)
O: 0.9644 0.0658 0.5596 (multiplicity 1)
O: 0.9659 0.5753 0.0294 (multiplicity 1)

5.
This record from the Alexandria database describes an optimized crystal structure of MnSnSb2O8. The functional is PBE+U.

Properties
* crystal system: orthorhombic
* total DFT energy (no corrections): -6.470 eV per atom

a = 6.6605 Å, b = 6.9856 Å, c = 6.3913 Å
α = 90.00°, β = 90.00°, γ = 90.00°
Space group Cmmm (No. 65)
Inequivalent atoms, fractional coordinates:
Mn: 0.0000 0.0000 0.0000 (multiplicity 2)
Sn: 0.0000 0.0000 0.5000 (multiplicity 2)
Sb: 0.0000 0.5000 0.2468 (multiplicity 4)
O: 0.0000 0.3118 0.5000 (multiplicity 4)
O: 0.0000 0.3159 0.0000 (multiplicity 4)
O: 0.2025 0.0000 0.2574 (multiplicity 8)

6.
This record from the Alexandria database describes an optimized crystal structure of SrMnSbO6. The functional is PBE+U.

Properties
* crystal system: trigonal
* total DFT energy (no corrections): -6.444 eV per atom

a = 5.2122 Å, b = 5.2122 Å, c = 5.4440 Å
α = 90.00°, β = 90.00°, γ = 120.00°
Space group P312 (No. 149)
Inequivalent atoms, fractional coordinates:
Sr: 0.0000 0.0000 0.0000 (multiplicity 1)
Mn: 0.6667 0.3333 0.5000 (multiplicity 1)
Sb: 0.3333 0.6667 0.5000 (multiplicity 1)
O: 0.3822 0.0114 0.7016 (multiplicity 6)

7.
This record from the Alexandria database describes an optimized crystal structure of Sr3MnSb2O8. The functional is PBE+U.

Properties
* crystal system: trigonal
* total DFT energy (no corrections): -6.194 eV per atom

a = 5.8831 Å, b = 5.8831 Å, c = 7.5991 Å
α = 90.00°, β = 90.00°, γ = 120.00°
Space group P-3m1 (No. 164)
Inequivalent atoms, fractional coordinates:
Sr: 0.0000 0.0000 0.0000 (multiplicity 1)
Sr: 0.3333 0.6667 0.6244 (multiplicity 2)
Mn: 0.0000 0.0000 0.5000 (multiplicity 1)
Sb: 0.3333 0.6667 0.1921 (multiplicity 2)
O: 0.1649 0.3299 0.3271 (multiplicity 6)
O: 0.3333 0.6667 0.9292 (multiplicity 2)

8.
This record from the Alexandria database describes an optimized crystal structure of Sr2Mn3Sb2O2. The functional is PBE+U.

Properties
* crystal system: tetragonal
* total DFT energy (no corrections): -6.035 eV per atom

a = 4.3292 Å, b = 4.3292 Å, c = 20.6019 Å
α = 90.00°, β = 90.00°, γ = 90.00°
Space group I4/mmm (No. 139)
Inequivalent atoms, fractional coordinates:
Sr: 0.0000 0.0000 0.0782 (multiplicity 4)
Mn: 0.0000 0.0000 0.5000 (multiplicity 2)
Mn: 0.0000 0.5000 0.2500 (multiplicity 4)
Sb: 0.0000 0.0000 0.3387 (multiplicity 4)
O: 0.0000 0.5000 0.0000 (multiplicity 4)

- Which formula does entry 3 have?
  Sm2MnSb2O

Repeat the fifth record exactly.
This record from the Alexandria database describes an optimized crystal structure of MnSnSb2O8. The functional is PBE+U.

Properties
* crystal system: orthorhombic
* total DFT energy (no corrections): -6.470 eV per atom

a = 6.6605 Å, b = 6.9856 Å, c = 6.3913 Å
α = 90.00°, β = 90.00°, γ = 90.00°
Space group Cmmm (No. 65)
Inequivalent atoms, fractional coordinates:
Mn: 0.0000 0.0000 0.0000 (multiplicity 2)
Sn: 0.0000 0.0000 0.5000 (multiplicity 2)
Sb: 0.0000 0.5000 0.2468 (multiplicity 4)
O: 0.0000 0.3118 0.5000 (multiplicity 4)
O: 0.0000 0.3159 0.0000 (multiplicity 4)
O: 0.2025 0.0000 0.2574 (multiplicity 8)